## one
## Tb2ZrNi (PBE-GGA)

Data for a relaxed structure of Tb2ZrNi.

Results
**Symmetry**: No. 123
**Magnetization**: 0.0 μB per formula unit
**ρ**: 8.34 Mg/m³

Cell: 3.4242 3.4242 7.9477 Å, 90.00 90.00 90.00°
Fractional positions:
Tb 0.0000 0.0000 0.2082
Tb 0.0000 0.0000 0.7918
Zr 0.5000 0.5000 0.5000
Ni 0.5000 0.5000 0.0000

---

## two
## Tb2ZrNi (PBE-GGA)

Data for a relaxed structure of Tb2ZrNi.

Results
**Symmetry**: No. 166
**Magnetization**: 0.0 μB per formula unit
**ρ**: 7.74 Mg/m³

Cell: 10.3983 10.3983 10.3983 Å, 18.64 18.64 18.64°
Fractional positions:
Tb 0.1050 0.1050 0.1050
Tb 0.8950 0.8950 0.8950
Zr 0.0000 0.0000 0.0000
Ni 0.5000 0.5000 0.5000

---

Sorted by energy, starting with the most stable: one, two.

---

## one
## TcNi (PBE-GGA)

Data for a relaxed structure of TcNi.

Results
**Symmetry**: No. 38
**Magnetization**: 0.0 μB per formula unit
**ρ**: 10.23 Mg/m³

Cell: 2.6323 6.8180 6.8180 Å, 141.42 90.00 90.00°
Fractional positions:
Tc 0.0000 0.0000 0.0000
Tc 0.5000 0.0025 0.6535
Tc 0.5000 0.6535 0.0025
Ni 0.0000 0.1875 0.4966
Ni 0.0000 0.4966 0.1875
Ni 0.5000 0.4986 0.4986

---

## two
## TcNi (PBE-GGA)

Data for a relaxed structure of TcNi.

Results
**Symmetry**: No. 83
**Magnetization**: 0.0 μB per formula unit
**ρ**: 9.58 Mg/m³

Cell: 9.2554 9.2554 2.5377 Å, 90.00 90.00 90.00°
Fractional positions:
Tc 0.1023 0.3667 0.0000
Tc 0.1644 0.6283 0.5000
Tc 0.3667 0.8977 0.0000
Tc 0.3717 0.1644 0.5000
Tc 0.6283 0.8356 0.5000
Tc 0.6333 0.1023 0.0000
Tc 0.8356 0.3717 0.5000
Tc 0.8977 0.6333 0.0000
Ni 0.0883 0.8457 0.0000
Ni 0.1543 0.0883 0.0000
Ni 0.3370 0.4256 0.5000
Ni 0.4256 0.6630 0.5000
Ni 0.5744 0.3370 0.5000
Ni 0.6630 0.5744 0.5000
Ni 0.8457 0.9117 0.0000
Ni 0.9117 0.1543 0.0000

---

Sorted by energy, starting with the most stable: one, two.

---

## one
## TcNi (PBE-GGA)

Data for a relaxed structure of TcNi.

Results
**Symmetry**: No. 194
**Magnetization**: 0.0 μB per formula unit
**ρ**: 7.69 Mg/m³

Cell: 4.0450 4.0450 4.7784 Å, 90.00 90.00 120.00°
Fractional positions:
Tc 0.3333 0.6667 0.2500
Tc 0.6667 0.3333 0.7500
Ni 0.3333 0.6667 0.7500
Ni 0.6667 0.3333 0.2500

---

## two
## TcNi (PBE-GGA)

Data for a relaxed structure of TcNi.

Results
**Symmetry**: No. 223
**Magnetization**: 0.0 μB per formula unit
**ρ**: 5.81 Mg/m³

Cell: 6.4537 6.4537 6.4537 Å, 90.00 90.00 90.00°
Fractional positions:
Tc 0.0000 0.2500 0.5000
Tc 0.0000 0.7500 0.5000
Tc 0.2500 0.5000 0.0000
Tc 0.5000 0.0000 0.2500
Tc 0.5000 0.0000 0.7500
Tc 0.7500 0.5000 0.0000
Ni 0.0000 0.5000 0.2500
Ni 0.0000 0.5000 0.7500
Ni 0.2500 0.0000 0.5000
Ni 0.5000 0.2500 0.0000
Ni 0.5000 0.7500 0.0000
Ni 0.7500 0.0000 0.5000

---

Sorted by energy, starting with the most stable: one, two.

---

## one
## TcNi (PBE-GGA)

Data for a relaxed structure of TcNi.

Results
**Symmetry**: No. 136
**Magnetization**: 0.0 μB per formula unit
**ρ**: 9.27 Mg/m³

Cell: 4.8139 4.8139 4.8458 Å, 90.00 90.00 90.00°
Fractional positions:
Tc 0.1780 0.1780 0.0000
Tc 0.3220 0.6780 0.5000
Tc 0.6780 0.3220 0.5000
Tc 0.8220 0.8220 0.0000
Ni 0.1747 0.1747 0.5000
Ni 0.3253 0.6747 0.0000
Ni 0.6747 0.3253 0.0000
Ni 0.8253 0.8253 0.5000

---

## two
## TcNi (PBE-GGA)

Data for a relaxed structure of TcNi.

Results
**Symmetry**: No. 59
**Magnetization**: 0.0 μB per formula unit
**ρ**: 10.09 Mg/m³

Cell: 2.6524 12.8118 4.5513 Å, 90.00 90.00 90.00°
Fractional positions:
Tc 0.2500 0.0850 0.0744
Tc 0.2500 0.4150 0.0744
Tc 0.2500 0.7500 0.7432
Tc 0.7500 0.2500 0.2568
Tc 0.7500 0.5850 0.9256
Tc 0.7500 0.9150 0.9256
Ni 0.2500 0.2500 0.7442
Ni 0.2500 0.5818 0.4193
Ni 0.2500 0.9182 0.4193
Ni 0.7500 0.0818 0.5807
Ni 0.7500 0.4182 0.5807
Ni 0.7500 0.7500 0.2558

---

## three
## TcNi (PBE-GGA)

Data for a relaxed structure of TcNi.

Results
**Symmetry**: No. 63
**Magnetization**: 0.0 μB per formula unit
**ρ**: 10.29 Mg/m³

Cell: 5.0248 5.0248 4.0753 Å, 90.00 90.00 150.57°
Fractional positions:
Tc 0.1728 0.8272 0.7500
Tc 0.8272 0.1728 0.2500
Ni 0.4359 0.5641 0.7500
Ni 0.5641 0.4359 0.2500

---

Sorted by energy, starting with the most stable: three, two, one.

---

## one
## Tc4Ni5 (PBE-GGA)

Data for a relaxed structure of Tc4Ni5.

Results
**Symmetry**: No. 139
**Magnetization**: 0.0 μB per formula unit
**ρ**: 10.04 Mg/m³

Cell: 5.8465 5.8465 5.8465 Å, 95.68 95.68 143.32°
Fractional positions:
Tc 0.0000 0.3307 0.3307
Tc 0.0000 0.6693 0.6693
Tc 0.3307 0.0000 0.3307
Tc 0.6693 0.0000 0.6693
Ni 0.0000 0.0000 0.0000
Ni 0.3348 0.3348 0.6697
Ni 0.3348 0.6652 0.0000
Ni 0.6652 0.3348 0.0000
Ni 0.6652 0.6652 0.3303

---

## two
## Tc4Ni5 (PBE-GGA)

Data for a relaxed structure of Tc4Ni5.

Results
**Symmetry**: No. 193
**Magnetization**: 0.0 μB per formula unit
**ρ**: 9.94 Mg/m³

Cell: 7.1968 7.1968 5.1034 Å, 90.00 90.00 120.00°
Fractional positions:
Tc 0.0000 0.0000 0.0000
Tc 0.0000 0.0000 0.5000
Tc 0.0000 0.3395 0.2500
Tc 0.0000 0.6605 0.7500
Tc 0.3395 0.0000 0.2500
Tc 0.3395 0.3395 0.7500
Tc 0.6605 0.0000 0.7500
Tc 0.6605 0.6605 0.2500
Ni 0.0000 0.3292 0.7500
Ni 0.0000 0.6708 0.2500
Ni 0.3292 0.0000 0.7500
Ni 0.3292 0.3292 0.2500
Ni 0.3333 0.6667 0.0000
Ni 0.3333 0.6667 0.5000
Ni 0.6667 0.3333 0.0000
Ni 0.6667 0.3333 0.5000
Ni 0.6708 0.0000 0.2500
Ni 0.6708 0.6708 0.7500

---

Sorted by energy, starting with the most stable: one, two.

---

## one
## TcNi5 (PBE-GGA)

Data for a relaxed structure of TcNi5.

Results
**Symmetry**: No. 8
**Magnetization**: 0.6 μB per formula unit
**ρ**: 9.42 Mg/m³

Cell: 4.8457 4.8457 5.9889 Å, 104.55 104.55 30.54°
Fractional positions:
Tc 0.0000 0.0000 0.0000
Ni 0.2781 0.2781 0.0613
Ni 0.3343 0.3343 0.6639
Ni 0.6135 0.6135 0.7219
Ni 0.6698 0.6698 0.3371
Ni 0.9491 0.9491 0.3921

---

## two
## TcNi5 (PBE-GGA)

Data for a relaxed structure of TcNi5.

Results
**Symmetry**: No. 65
**Magnetization**: 0.0 μB per formula unit
**ρ**: 9.46 Mg/m³

Cell: 5.6517 5.6517 3.5732 Å, 90.00 90.00 143.00°
Fractional positions:
Tc 0.0000 0.0000 0.0000
Ni 0.1673 0.8327 0.5000
Ni 0.3360 0.6640 0.0000
Ni 0.5000 0.5000 0.5000
Ni 0.6640 0.3360 0.0000
Ni 0.8327 0.1673 0.5000

---

Sorted by energy, starting with the most stable: two, one.

---

## one
## Tc5Ni (PBE-GGA)

Data for a relaxed structure of Tc5Ni.

Results
**Symmetry**: No. 8
**Magnetization**: 0.0 μB per formula unit
**ρ**: 10.83 Mg/m³

Cell: 5.1191 5.1191 6.3791 Å, 103.85 103.85 31.31°
Fractional positions:
Tc 0.0000 0.0000 0.0000
Tc 0.0523 0.0523 0.6031
Tc 0.3267 0.3267 0.6646
Tc 0.3801 0.3801 0.2780
Tc 0.7157 0.7157 0.9466
Ni 0.6610 0.6610 0.3333

---

## two
## Tc5Ni (PBE-GGA)

Data for a relaxed structure of Tc5Ni.

Results
**Symmetry**: No. 216
**Magnetization**: 0.0 μB per formula unit
**ρ**: 10.11 Mg/m³

Cell: 5.0321 5.0321 5.0321 Å, 60.00 60.00 60.00°
Fractional positions:
Tc 0.0000 0.0000 0.0000
Tc 0.1280 0.6240 0.6240
Tc 0.6240 0.1280 0.6240
Tc 0.6240 0.6240 0.1280
Tc 0.6240 0.6240 0.6240
Ni 0.2500 0.2500 0.2500

---

Sorted by energy, starting with the most stable: one, two.

---

## one
## Tc5Ni (PBE-GGA)

Data for a relaxed structure of Tc5Ni.

Results
**Symmetry**: No. 38
**Magnetization**: 0.0 μB per formula unit
**ρ**: 10.83 Mg/m³

Cell: 4.3160 7.2129 7.2129 Å, 22.00 90.00 90.00°
Fractional positions:
Tc 0.0000 0.0000 0.0000
Tc 0.0000 0.3273 0.3273
Tc 0.5000 0.1094 0.1094
Tc 0.5000 0.4388 0.4388
Tc 0.5000 0.7711 0.7711
Ni 0.0000 0.6602 0.6602

---

## two
## Tc5Ni (PBE-GGA)

Data for a relaxed structure of Tc5Ni.

Results
**Symmetry**: No. 123
**Magnetization**: 0.0 μB per formula unit
**ρ**: 10.82 Mg/m³

Cell: 2.7040 2.7040 11.5205 Å, 90.00 90.00 90.00°
Fractional positions:
Tc 0.0000 0.0000 0.0000
Tc 0.0000 0.0000 0.3420
Tc 0.0000 0.0000 0.6580
Tc 0.5000 0.5000 0.1708
Tc 0.5000 0.5000 0.8292
Ni 0.5000 0.5000 0.5000

---

Sorted by energy, starting with the most stable: one, two.